Entry 1:
Compound: NaNbB
Source: OQMD
Functional: GGA-PBE
Structure: optimized geometry

VASP energy in eV/atom: -5.118

Cell lengths 5.6884, 5.6884, 5.6884 Å; angles 90.00, 90.00, 90.00 degrees
Space group F-43m (No. 216)
Unique sites:
Na  0.0000  0.0000  0.0000
Nb  0.0000  0.0000  0.5000
B  0.2500  0.2500  0.2500

=====

Entry 2:
Compound: Rb2ZrNbO6
Source: OQMD
Functional: GGA-PBE
Structure: optimized geometry

VASP energy in eV/atom: -7.388

Cell lengths 8.2872, 8.2872, 8.2872 Å; angles 90.00, 90.00, 90.00 degrees
Space group Fm-3m (No. 225)
Unique sites:
Rb  0.2500  0.2500  0.2500
Zr  0.0000  0.0000  0.0000
Nb  0.0000  0.0000  0.5000
O  0.0000  0.0000  0.2561

=====

Entry 3:
Compound: TbSnIr
Source: OQMD
Functional: GGA-PBE
Structure: optimized geometry

VASP energy in eV/atom: -6.510

Cell lengths 7.1430, 7.1430, 4.3518 Å; angles 90.00, 90.00, 120.00 degrees
Space group P-62m (No. 189)
Unique sites:
Tb  0.0000  0.5675  0.0000
Sn  0.0000  0.0000  0.0000
Sn  0.3333  0.6667  0.5000
Ir  0.0000  0.2372  0.5000

=====

Entry 4:
Compound: ThSi2Mo2
Source: OQMD
Functional: GGA-PBE
Structure: optimized geometry

VASP energy in eV/atom: -8.469

Cell lengths 4.0889, 4.0889, 11.0861 Å; angles 90.00, 90.00, 90.00 degrees
Space group I4/mmm (No. 139)
Unique sites:
Th  0.0000  0.0000  0.0000
Si  0.0000  0.0000  0.3873
Mo  0.0000  0.5000  0.2500

=====

Entry 5:
Compound: Dy2Lu2B3C4
Source: OQMD
Functional: GGA-PBE
Structure: optimized geometry

VASP energy in eV/atom: -7.336

Cell lengths 3.4646, 3.5623, 11.8285 Å; angles 92.77, 96.95, 90.11 degrees
Space group P-1 (No. 2)
Unique sites:
Dy  0.1958  0.4774  0.3499
Lu  0.3944  0.0522  0.8592
B  0.0000  0.5000  0.0000
B  0.2479  0.0063  0.5414
C  0.0998  0.4401  0.1221
C  0.3108  0.0260  0.6693

=====

Entry 6:
Compound: InAsIrO
Source: OQMD
Functional: GGA-PBE
Structure: optimized geometry

VASP energy in eV/atom: -5.656

Cell lengths 3.7411, 7.1195, 5.4789 Å; angles 90.00, 90.00, 90.00 degrees
Space group Pmc2_1 (No. 26)
Unique sites:
In  0.0000  0.0996  0.0000
As  0.0000  0.3392  0.4825
Ir  0.5000  0.4986  0.7294
O  0.5000  0.2790  0.9808

=====

Computed M_tot (μB/f.u.) in order:
0.1, 1.0, 0.0, 0.0, 0.0, 0.0